(1)
# Na3B5C PBE optimized geometry
# space group = P-3m1 (164)
# size of the total moment = 0.0 μB/cell
# density = 2.30 Mg/m³
# DFT formation energy = 241 meV/atom
# E_tot = -4.93 eV per atom
data_Na3B5C
_chemical_formula_sum 'Na6 B10 C2'
_symmetry_space_group_name_H-M 'P 1'
_symmetry_Int_Tables_number 1
_cell_length_a 2.955
_cell_length_b 2.955
_cell_length_c 25.786
_cell_angle_alpha 90.00
_cell_angle_beta 90.00
_cell_angle_gamma 120.00
loop_
_symmetry_equiv_pos_as_xyz
'x,y,z'
loop_
_atom_site_label
_atom_site_fract_x
_atom_site_fract_y
_atom_site_fract_z
B1 0.667 0.333 0.080
Na1 0.000 0.000 0.833
B2 0.667 0.333 0.752
B3 0.333 0.667 0.249
Na2 0.000 0.000 0.165
B4 0.333 0.667 0.586
Na3 0.000 0.000 0.670
B5 0.333 0.667 0.417
C1 0.667 0.333 0.915
Na4 0.000 0.000 0.996
B6 0.667 0.333 0.586
C2 0.333 0.667 0.752
Na5 0.000 0.000 0.502
B7 0.333 0.667 0.080
B8 0.333 0.667 0.915
B9 0.667 0.333 0.249
Na6 0.000 0.000 0.333
B10 0.667 0.333 0.417

(2)
# Na2B3C PBE optimized geometry
# space group = P1 (1)
# size of the total moment = 0.0 μB/cell
# density = 2.37 Mg/m³
# DFT formation energy = 170 meV/atom
# E_tot = -5.15 eV per atom
data_Na2B3C
_chemical_formula_sum 'Na10 B15 C5'
_symmetry_space_group_name_H-M 'P 1'
_symmetry_Int_Tables_number 1
_cell_length_a 7.474
_cell_length_b 7.475
_cell_length_c 10.309
_cell_angle_alpha 120.61
_cell_angle_beta 120.61
_cell_angle_gamma 40.95
loop_
_symmetry_equiv_pos_as_xyz
'x,y,z'
loop_
_atom_site_label
_atom_site_fract_x
_atom_site_fract_y
_atom_site_fract_z
Na1 0.803 0.798 0.500
Na2 0.198 0.200 0.497
Na3 0.798 0.800 0.998
B1 0.451 0.760 0.750
Na4 0.603 0.597 0.501
B2 0.618 0.980 0.250
B3 0.145 0.847 0.250
B4 0.775 0.432 0.750
C1 0.561 0.239 0.250
Na5 0.402 0.401 0.505
C2 0.764 0.441 0.250
Na6 0.599 0.598 0.996
B5 0.047 0.348 0.250
B6 0.338 0.072 0.750
B7 0.953 0.656 0.250
B8 0.840 0.149 0.750
B9 0.980 0.620 0.750
B10 0.652 0.948 0.750
C3 0.235 0.561 0.750
Na7 0.000 0.005 0.506
Na8 0.199 0.198 0.995
B11 0.820 0.181 0.250
C4 0.039 0.364 0.749
B12 0.268 0.529 0.250
B13 0.452 0.754 0.250
B14 0.528 0.262 0.750
Na9 0.004 0.998 0.000
B15 0.168 0.825 0.751
Na10 0.401 0.401 0.002
C5 0.360 0.037 0.250